# 1
# CeSi2Tc

An optimized crystal structure of CeSi2Tc (PBE, Alexandria via LeMat-Bulk).

Summary:
energy relative to the elements, uncorrected	-0.670	eV per atom
calculated total energy	-7.46	eV/atom
crystal system	orthorhombic
space-group type	No. 62
energy above the lowest structure with this stoichiometry	0	meV/atom

a b c (Å): 3.9691 7.2071 10.2339
angles (deg): 90.00 90.00 90.00
With the nearest neighbours (Å) after each atom.
Atoms (fractional coordinates):
1 Ce 0.7500 0.8502 0.1282  9 Si 3.01-3.24, 2 Tc 3.27
2 Ce 0.2500 0.1498 0.8718  9 Si 3.01-3.24, 2 Tc 3.27
3 Ce 0.7500 0.3502 0.3718  9 Si 3.01-3.24, 2 Tc 3.27
4 Ce 0.2500 0.6498 0.6282  9 Si 3.01-3.24, 2 Tc 3.27
5 Si 0.7500 0.8450 0.8164  2 Tc 2.44-2.54, 2 Si 2.49
6 Si 0.2500 0.1550 0.1836  2 Tc 2.44-2.54, 2 Si 2.49
7 Si 0.7500 0.3450 0.6836  2 Tc 2.44-2.54, 2 Si 2.49
8 Si 0.2500 0.6550 0.3164  2 Tc 2.44-2.54, 2 Si 2.49
9 Si 0.7500 0.7939 0.4253  3 Tc 2.43-2.47, 2 Si 2.49
10 Si 0.2500 0.7061 0.9253  3 Tc 2.43-2.47, 2 Si 2.49
11 Si 0.7500 0.2939 0.0747  3 Tc 2.43-2.47, 2 Si 2.49
12 Si 0.2500 0.2061 0.5747  3 Tc 2.43-2.47, 2 Si 2.49
13 Tc 0.2500 0.4912 0.1082  5 Si 2.43-2.54
14 Tc 0.2500 0.9912 0.3918  5 Si 2.43-2.54
15 Tc 0.7500 0.5088 0.8918  5 Si 2.43-2.54
16 Tc 0.7500 0.0088 0.6082  5 Si 2.43-2.54

---

# 2
# Ba4NaCd2Ga

An optimized crystal structure of Ba4NaCd2Ga (PBE, Alexandria via LeMat-Bulk).

Summary:
calculated total energy	-1.98	eV/atom
crystal system	trigonal
space-group type	No. 166

a b c (Å): 6.0573 6.0573 10.5174
angles (deg): 73.26 73.26 60.00
With the nearest neighbours (Å) after each atom.
Atoms (fractional coordinates):
1 Ba 0.3835 0.3835 0.8495  1 Ga 3.47, 4 Cd 3.59-3.82, 3 Na 3.80
2 Ba 0.8672 0.8672 0.3984  3 Ga 3.64, 4 Cd 3.64-3.86, 1 Na 3.95, 3 Ba 4.04
3 Ba 0.1328 0.1328 0.6016  3 Ga 3.64, 4 Cd 3.64-3.86, 1 Na 3.95, 3 Ba 4.04
4 Ba 0.6165 0.6165 0.1505  1 Ga 3.47, 4 Cd 3.59-3.82, 3 Na 3.80
5 Na 0.0000 0.0000 0.0000  8 Ba 3.80-3.95, 6 Cd 4.20
6 Cd 0.7448 0.7448 0.7657  8 Ba 3.59-3.86
7 Cd 0.2552 0.2552 0.2343  8 Ba 3.59-3.86
8 Ga 0.5000 0.5000 0.5000  8 Ba 3.47-3.64

---

# 3
# CeZr5N6

An optimized crystal structure of CeZr5N6 (PBE, Alexandria via LeMat-Bulk).

Summary:
energy relative to the elements, uncorrected	-1.655	eV per atom
calculated total energy	-9.87	eV/atom
crystal system	monoclinic
space-group type	No. 12

a b c (Å): 5.7374 5.7386 5.7423
angles (deg): 60.02 80.44 70.58
With the nearest neighbours (Å) after each atom.
Atoms (fractional coordinates):
1 Zr 0.5000 0.1687 0.6626  6 N 2.26-2.37
2 Zr 0.0000 0.3314 0.3373  6 N 2.34-2.35
3 Zr 0.5000 0.5000 0.0000  6 N 2.28-2.34
4 Zr 0.0000 0.6686 0.6627  6 N 2.34-2.35
5 Zr 0.5000 0.8313 0.3374  6 N 2.26-2.37
6 Ce 0.0000 0.0000 0.0000  6 N 2.40-2.41
7 N 0.7411 0.0865 0.3418  5 Zr 2.26-2.35, 1 Ce 2.41
8 N 0.2589 0.5717 0.3418  5 Zr 2.26-2.35, 1 Ce 2.41
9 N 0.2546 0.2581 0.0000  5 Zr 2.28-2.37, 1 Ce 2.40
10 N 0.7454 0.7419 0.0000  5 Zr 2.28-2.37, 1 Ce 2.40
11 N 0.7411 0.4283 0.6582  5 Zr 2.26-2.35, 1 Ce 2.41
12 N 0.2589 0.9135 0.6582  5 Zr 2.26-2.35, 1 Ce 2.41

---

no.,magnetization (μB per cell)
1,1.20
2,0.00
3,0.00